# LaMo2Ru

A geometry-optimized LaMo2Ru structure (PBE, Alexandria via LeMat-Bulk).

Theoretical density (g/cm3): 9.8
Relative energy among the computed polymorphs (meV/atom): 85.4
DFT total energy (eV/atom): -8.60
Total magnetization (Bohr magnetons per cell): 0.00

Unit cell a=4.6880 b=4.6880 c=4.6880 alpha=60.00 beta=60.00 gamma=60.00
Closest atoms and distances in Å follow each position.
Element x y z (fractional)
1 Ru 0.7500 0.7500 0.7500  4 Mo 2.87, 4 La 2.87
2 Mo 0.0000 0.0000 0.0000  4 Mo 2.87, 4 Ru 2.87
3 Mo 0.2500 0.2500 0.2500  4 La 2.87, 4 Mo 2.87
4 La 0.5000 0.5000 0.5000  4 Mo 2.87, 4 Ru 2.87